# Rb2ZrRe3O12

Rb2ZrRe3O12 after structural relaxation (PBE-GGA, Alexandria).

Cell lengths 7.473, 7.473, 7.473 Å; angles 58.99, 58.99, 58.99 degrees
Each line ends with the local moment (μB).
Atoms (fractional coordinates):
O 0.933 0.933 0.334  0.01
O 0.692 0.692 0.069  0.01
Rb 0.615 0.615 0.615  0.00
O 0.933 0.334 0.933  0.01
O 0.067 0.067 0.666  0.01
O 0.666 0.067 0.067  0.01
O 0.308 0.931 0.308  0.01
O 0.334 0.933 0.933  0.01
Rb 0.385 0.385 0.385  0.00
O 0.931 0.308 0.308  0.01
O 0.692 0.069 0.692  0.01
Zr 0.000 0.000 0.000  0.01
O 0.069 0.692 0.692  0.01
O 0.308 0.308 0.931  0.01
Re 0.000 0.500 0.000  0.14
Re 0.500 0.000 0.000  0.14
O 0.067 0.666 0.067  0.01
Re 0.000 0.000 0.500  0.14

## Properties
* final energy: -141.925 eV for the cell shown
* formation energy from raw total energies: -34.599 eV/f.u.
* space group: R-3m (166)
* V: 288 Å³ per cell

=====

# MgReGe

MgReGe after structural relaxation (PBE-GGA, Alexandria).

Cell lengths 4.036, 4.036, 6.510 Å; angles 90.00, 90.00, 90.00 degrees
Atoms (fractional coordinates):
Ge 0.500 0.000 0.751
Re 0.000 0.000 0.500
Mg 0.500 0.000 0.171
Mg 0.000 0.500 0.829
Ge 0.000 0.500 0.249
Re 0.500 0.500 0.500

## Properties
* final energy: -37.197 eV for the cell shown
* energy relative to the elements: 6 kJ/mol of formula units
* space group: P4/nmm (129)
* V: 106 Å³ per cell

=====

# BeZnCr3

BeZnCr3 after structural relaxation (PBE-GGA, Alexandria).

Cell lengths 3.970, 3.970, 3.970 Å; angles 90.00, 90.00, 90.00 degrees
Each line ends with the local moment (μB).
Atoms (fractional coordinates):
Cr 0.000 0.500 0.000  0.64
Cr 0.000 0.000 0.500  0.67
Be 0.000 0.000 0.000  -0.02
Zn 0.500 0.500 0.500  -0.02
Cr 0.500 0.000 0.000  0.61

## Properties
* final energy: -29.592 eV for the cell shown
* energy relative to the elements: 413 kJ/mol of formula units
* space group: Pm-3m (221)
* V: 63 Å³ per cell